[1]
Below is Ba2MnIrPd after structural relaxation, with properties calculated at the PBEsol level.

SG: No. 123
Calculated formation energy, eV/atom: 0.6809
E, eV per atom: -5.287
ρ, g/cm³: 6.13

Lattice parameters (Å, degrees): 4.7928 5.9583 5.9583 90.00 90.00 90.00
Each line ends with the local moment (μB).
Fractional positions:
1 Ba 0.0000 0.0000 0.5000  -0.03
2 Ba 0.0000 0.5000 0.0000  -0.03
3 Pd 0.5000 0.0000 0.0000  0.06
4 Mn 0.5000 0.5000 0.5000  4.31
5 Ir 0.0000 0.0000 0.0000  0.08

---

[2]
Below is Au3C after structural relaxation, with properties calculated at the PBEsol level.

SG: No. 139
Calculated formation energy, eV/atom: 1.4348
Excess energy over the best structure of this formula in the dataset, kcal/mol of atoms: 8.53
E, eV per atom: -3.919
ρ, g/cm³: 16.40

Lattice parameters (Å, degrees): 4.0925 4.6546 4.0925 63.92 90.00 116.08
Fractional positions:
1 Au 0.7500 0.5000 0.7500
2 Au 0.5000 0.0000 0.5000
3 Au 0.2500 0.5000 0.2500
4 C 0.0000 0.0000 0.0000

---

[3]
Below is Hf3POs after structural relaxation, with properties calculated at the PBEsol level.

SG: No. 221
Calculated formation energy, eV/atom: 0.1765
E, eV per atom: -9.727
ρ, g/cm³: 12.50

Lattice parameters (Å, degrees): 4.6492 4.6492 4.6492 90.00 90.00 90.00
Fractional positions:
1 Os 0.5000 0.5000 0.5000
2 Hf 0.5000 0.0000 0.0000
3 Hf 0.0000 0.0000 0.5000
4 Hf 0.0000 0.5000 0.0000
5 P 0.0000 0.0000 0.0000

---

[4]
Below is KFe2Se2 after structural relaxation, with properties calculated at the PBEsol level.

SG: No. 139
Formation energy from raw total energies, eV/atom: -0.501
E, eV per atom: -5.853
ρ, g/cm³: 5.53

Lattice parameters (Å, degrees): 3.7727 3.7727 7.0408 105.54 105.54 90.00
Fractional positions:
1 K 0.0000 0.0000 0.0000
2 Fe 0.7500 0.2500 0.5000
3 Fe 0.2500 0.7500 0.5000
4 Se 0.6511 0.6511 0.3021
5 Se 0.3489 0.3489 0.6979

---

[5]
Below is TmSiPd2 after structural relaxation, with properties calculated at the PBEsol level.

SG: No. 62
Formation energy from raw total energies, eV/atom: -1.046
E, eV per atom: -6.687
ρ, g/cm³: 10.20

Lattice parameters (Å, degrees): 5.4093 6.8968 7.1508 90.00 90.00 90.00
Fractional positions:
1 Pd 0.9066 0.0517 0.3208
2 Pd 0.4066 0.5517 0.1792
3 Pd 0.0934 0.5517 0.6792
4 Pd 0.5934 0.0517 0.8208
5 Pd 0.4066 0.9483 0.1792
6 Pd 0.9066 0.4483 0.3208
7 Pd 0.5934 0.4483 0.8208
8 Pd 0.0934 0.9483 0.6792
9 Si 0.6396 0.2500 0.1204
10 Si 0.8604 0.2500 0.6204
11 Si 0.1396 0.7500 0.3796
12 Si 0.3604 0.7500 0.8796
13 Tm 0.6394 0.7500 0.5269
14 Tm 0.1394 0.2500 0.9731
15 Tm 0.8606 0.7500 0.0269
16 Tm 0.3606 0.2500 0.4731

---

[6]
Below is Ba2Ag after structural relaxation, with properties calculated at the PBEsol level.

SG: No. 36
Calculated formation energy, eV/atom: -0.1127
Excess energy over the best structure of this formula in the dataset, kcal/mol of atoms: 0.59
E, eV per atom: -2.649
ρ, g/cm³: 4.97

Lattice parameters (Å, degrees): 4.3106 7.7684 7.9385 90.00 90.00 106.11
Fractional positions:
1 Ag 0.3854 0.7707 0.9271
2 Ag 0.6146 0.2293 0.4271
3 Ba 0.9822 0.9644 0.2072
4 Ba 0.0178 0.0356 0.7072
5 Ba 0.2801 0.5603 0.5330
6 Ba 0.7199 0.4397 0.0330